Model a:
This record from Alexandria via LeMat-Bulk describes a geometry-optimized HfTi3B structure. The functional is PBE.

The density of states at the Fermi level is 1.571 states/eV per atom. For the calculated density, the calculation gives 6.57 Mg/m³. As for the volume: 16.84 A^3/atom.

It has space group Pm-3m (No. 221), with a = 4.383 Å, b = 4.383 Å, c = 4.383 Å, α = 90.00°, β = 90.00° and γ = 90.00°. The inequivalent atoms are Hf at (0.000, 0.000, 0.000), Ti at (0.000, 0.500, 0.500) and B at (0.500, 0.500, 0.500).

Model b:
This record from Alexandria via LeMat-Bulk describes a geometry-optimized HfTi3B structure. The functional is PBE.

The density of states at the Fermi level is 1.716 states/eV per atom. For the calculated density, the calculation gives 5.13 Mg/m³. As for the volume: 21.56 A^3/atom.

It has space group Pm-3m (No. 221), with a = 4.759 Å, b = 4.759 Å, c = 4.759 Å, α = 90.00°, β = 90.00° and γ = 90.00°. The inequivalent atoms are Hf at (0.000, 0.000, 0.000), Ti at (0.000, 0.000, 0.500) and B at (0.500, 0.500, 0.500).

Least stable of them? model b.

Model a:
This record from Alexandria via LeMat-Bulk describes a geometry-optimized Hf2Tl2B structure. The functional is PBE.

The density of states at the Fermi level is 0.783 states/eV per atom. For the calculated density, the calculation gives 10.65 Mg/m³. As for the volume: 24.21 A^3/atom.

It has space group I4/mmm (No. 139), with a = 3.942 Å, b = 3.942 Å, c = 15.579 Å, α = 90.00°, β = 90.00° and γ = 90.00°. The inequivalent atoms are Hf at (0.000, 0.500, 0.250), Tl at (0.000, 0.000, 0.091) and B at (0.000, 0.000, 0.500).

Model b:
This record from Alexandria via LeMat-Bulk describes a geometry-optimized Hf2Tl2B structure. The functional is PBE.

The density of states at the Fermi level is 0.583 states/eV per atom. For the calculated density, the calculation gives 12.52 Mg/m³. As for the volume: 20.60 A^3/atom.

It has space group P4/mbm (No. 127), with a = 6.476 Å, b = 6.476 Å, c = 4.913 Å, α = 90.00°, β = 90.00° and γ = 90.00°. The inequivalent atoms are Hf at (0.166, 0.334, 0.000), Tl at (0.156, 0.656, 0.500) and B at (0.000, 0.000, 0.500).

Least stable of them? model a.

Model a:
This record from Alexandria via LeMat-Bulk describes a geometry-optimized HfTlB3 structure. The functional is PBE.

The density of states at the Fermi level is 0.991 states/eV per atom. For the calculated density, the calculation gives 7.16 Mg/m³. As for the volume: 19.27 A^3/atom.

It has space group Pm-3m (No. 221), with a = 4.585 Å, b = 4.585 Å, c = 4.585 Å, α = 90.00°, β = 90.00° and γ = 90.00°. The inequivalent atoms are Hf at (0.000, 0.000, 0.000), Tl at (0.500, 0.500, 0.500) and B at (0.000, 0.000, 0.500).

Model b:
This record from Alexandria via LeMat-Bulk describes a geometry-optimized HfTlB3 structure. The functional is PBE.

The density of states at the Fermi level is 0.715 states/eV per atom. For the calculated density, the calculation gives 8.23 Mg/m³. As for the volume: 16.77 A^3/atom.

It has space group Pm-3m (No. 221), with a = 4.377 Å, b = 4.377 Å, c = 4.377 Å, α = 90.00°, β = 90.00° and γ = 90.00°. The inequivalent atoms are Hf at (0.000, 0.000, 0.000), Tl at (0.500, 0.500, 0.500) and B at (0.000, 0.500, 0.500).

Least stable of them? model b.

Model a:
This record from Alexandria via LeMat-Bulk describes a geometry-optimized Hf2VB2 structure. The functional is PBE.

The density of states at the Fermi level is 0.786 states/eV per atom. For the calculated density, the calculation gives 10.91 Mg/m³. As for the volume: 13.08 A^3/atom.

It has space group Immm (No. 71), with a = 3.342 Å, b = 5.007 Å, c = 7.817 Å, α = 90.00°, β = 90.00° and γ = 90.00°. The inequivalent atoms are Hf at (0.000, 0.000, 0.207), V at (0.000, 0.500, 0.000) and B at (0.000, 0.311, 0.500).

Model b:
This record from Alexandria via LeMat-Bulk describes a geometry-optimized Hf2VB2 structure. The functional is PBE.

The density of states at the Fermi level is 0.671 states/eV per atom. For the calculated density, the calculation gives 10.82 Mg/m³. As for the volume: 13.18 A^3/atom.

It has space group P4/mbm (No. 127), with a = 6.219 Å, b = 6.219 Å, c = 3.409 Å, α = 90.00°, β = 90.00° and γ = 90.00°. The inequivalent atoms are Hf at (0.183, 0.317, 0.000), V at (0.000, 0.000, 0.500) and B at (0.104, 0.604, 0.500).

Least stable of them? model a.

Model a:
This record from Alexandria via LeMat-Bulk describes a geometry-optimized HfV3B structure. The functional is PBE.

The density of states at the Fermi level is 0.702 states/eV per atom. For the calculated density, the calculation gives 7.91 Mg/m³. As for the volume: 14.36 A^3/atom.

It has space group Pm-3m (No. 221), with a = 4.157 Å, b = 4.157 Å, c = 4.157 Å, α = 90.00°, β = 90.00° and γ = 90.00°. The inequivalent atoms are Hf at (0.000, 0.000, 0.000), V at (0.000, 0.500, 0.500) and B at (0.500, 0.500, 0.500).

Model b:
This record from Alexandria via LeMat-Bulk describes a geometry-optimized HfV3B structure. The functional is PBE.

The density of states at the Fermi level is 1.527 states/eV per atom. For the calculated density, the calculation gives 6.01 Mg/m³. As for the volume: 18.89 A^3/atom.

It has space group Pm-3m (No. 221), with a = 4.554 Å, b = 4.554 Å, c = 4.554 Å, α = 90.00°, β = 90.00° and γ = 90.00°. The inequivalent atoms are Hf at (0.000, 0.000, 0.000), V at (0.000, 0.000, 0.500) and B at (0.500, 0.500, 0.500).

Least stable of them? model b.

Model a:
This record from Alexandria via LeMat-Bulk describes a geometry-optimized Hf3VB structure. The functional is PBE.

The density of states at the Fermi level is 0.766 states/eV per atom. For the calculated density, the calculation gives 9.37 Mg/m³. As for the volume: 21.17 A^3/atom.

It has space group Pm-3m (No. 221), with a = 4.731 Å, b = 4.731 Å, c = 4.731 Å, α = 90.00°, β = 90.00° and γ = 90.00°. The inequivalent atoms are Hf at (0.000, 0.000, 0.500), V at (0.000, 0.000, 0.000) and B at (0.500, 0.500, 0.500).

Model b:
This record from Alexandria via LeMat-Bulk describes a geometry-optimized Hf3VB structure. The functional is PBE.

The density of states at the Fermi level is 1.386 states/eV per atom. For the calculated density, the calculation gives 10.35 Mg/m³. As for the volume: 19.16 A^3/atom.

It has space group Pm-3m (No. 221), with a = 4.575 Å, b = 4.575 Å, c = 4.575 Å, α = 90.00°, β = 90.00° and γ = 90.00°. The inequivalent atoms are Hf at (0.000, 0.000, 0.500), V at (0.500, 0.500, 0.500) and B at (0.000, 0.000, 0.000).

Least stable of them? model a.